Density functional theory data (GGA-PBE) for crystalline NdFeS at its relaxed geometry.

Summary:
E_form (uncorrected): -224.1 kJ/mol of formula units
Magnetization: 2.60 μB/f.u.
Space group: No. 166

abc: 4.589 4.589 8.028
angles: 73.39 73.39 60.00
Each line ends with the local moment (μB).
Atoms (fractional coordinates):
1 Nd 0.586 0.586 0.243  -0.11
2 Nd 0.414 0.414 0.757  -0.11
3 S 0.283 0.283 0.152  0.05
4 S 0.717 0.717 0.848  0.05
5 Fe 0.824 0.824 0.529  2.67
6 Fe 0.176 0.176 0.471  2.67